Below is crystalline PaCoTe at its relaxed geometry, with properties calculated at the PBE-GGA level. Values from VASP.

Structure (Quantum ESPRESSO input):
```
&SYSTEM
  ibrav = 0, nat = 3, ntyp = 3
/
ATOMIC_SPECIES
Co 58.93 Co.upf
Pa 231.04 Pa.upf
Te 127.60 Te.upf
ATOMIC_POSITIONS crystal
Co 0.5000 0.5000 0.5000
Pa 0.2500 0.2500 0.2500
Te 0.0000 0.0000 0.0000
CELL_PARAMETERS angstrom
0.0000 3.3963 3.3963
3.3963 0.0000 3.3963
3.3963 3.3963 0.0000
```

- energy relative to the lowest polymorph listed for this composition (eV/f.u.) = 2.13
- total moment (μB/f.u.) = 0.07



Below is crystalline TmPaCo at its relaxed geometry, with properties calculated at the PBE-GGA level. Values from VASP.

Structure (Quantum ESPRESSO input):
```
&SYSTEM
  ibrav = 0, nat = 3, ntyp = 3
/
ATOMIC_SPECIES
Co 58.93 Co.upf
Pa 231.04 Pa.upf
Tm 168.93 Tm.upf
ATOMIC_POSITIONS crystal
Co 0.2500 0.2500 0.2500
Pa 0.7500 0.7500 0.7500
Tm 0.0000 0.0000 0.0000
CELL_PARAMETERS angstrom
0.0000 3.2041 3.2041
3.2041 0.0000 3.2041
3.2041 3.2041 0.0000
```

- total moment (μB/f.u.) = 0.03
- E_form (eV per formula unit) = 2.7



Below is crystalline UPaCo at its relaxed geometry, with properties calculated at the PBE-GGA level. Values from VASP.

Structure (Quantum ESPRESSO input):
```
&SYSTEM
  ibrav = 0, nat = 3, ntyp = 3
/
ATOMIC_SPECIES
Co 58.93 Co.upf
Pa 231.04 Pa.upf
U 238.03 U.upf
ATOMIC_POSITIONS crystal
Co 0.0000 0.0000 0.0000
Pa 0.2500 0.2500 0.2500
U 0.7500 0.7500 0.7500
CELL_PARAMETERS angstrom
0.0000 3.1508 3.1508
3.1508 0.0000 3.1508
3.1508 3.1508 0.0000
```

- energy relative to the lowest polymorph listed for this composition (eV/f.u.) = 0.00
- total moment (μB/f.u.) = 1.51
- E_form (eV per formula unit) = 0.8



Below is crystalline PaCoW at its relaxed geometry, with properties calculated at the PBE-GGA level. Values from VASP.

Structure (Quantum ESPRESSO input):
```
&SYSTEM
  ibrav = 0, nat = 3, ntyp = 3
/
ATOMIC_SPECIES
Co 58.93 Co.upf
Pa 231.04 Pa.upf
W 183.84 W.upf
ATOMIC_POSITIONS crystal
Co 0.2500 0.2500 0.2500
Pa 0.0000 0.0000 0.0000
W 0.7500 0.7500 0.7500
CELL_PARAMETERS angstrom
0.0000 3.0787 3.0787
3.0787 0.0000 3.0787
3.0787 3.0787 0.0000
```

- energy relative to the lowest polymorph listed for this composition (eV/f.u.) = 1.60
- total moment (μB/f.u.) = 0.43
- E_form (eV per formula unit) = 3.1



Below is crystalline PaCoW at its relaxed geometry, with properties calculated at the PBE-GGA level. Values from VASP.

Structure (Quantum ESPRESSO input):
```
&SYSTEM
  ibrav = 0, nat = 3, ntyp = 3
/
ATOMIC_SPECIES
Co 58.93 Co.upf
Pa 231.04 Pa.upf
W 183.84 W.upf
ATOMIC_POSITIONS crystal
Co 0.0000 0.0000 0.0000
Pa 0.2500 0.2500 0.2500
W 0.7500 0.7500 0.7500
CELL_PARAMETERS angstrom
0.0000 3.0666 3.0666
3.0666 0.0000 3.0666
3.0666 3.0666 0.0000
```

- energy relative to the lowest polymorph listed for this composition (eV/f.u.) = 0.00
- total moment (μB/f.u.) = 2.06
- E_form (eV per formula unit) = 1.5



Below is crystalline YPaCo at its relaxed geometry, with properties calculated at the PBE-GGA level. Values from VASP.

Structure (Quantum ESPRESSO input):
```
&SYSTEM
  ibrav = 0, nat = 3, ntyp = 3
/
ATOMIC_SPECIES
Co 58.93 Co.upf
Pa 231.04 Pa.upf
Y 88.91 Y.upf
ATOMIC_POSITIONS crystal
Co 0.7500 0.7500 0.7500
Pa 0.2500 0.2500 0.2500
Y 0.5000 0.5000 0.5000
CELL_PARAMETERS angstrom
0.0000 3.2030 3.2030
3.2030 0.0000 3.2030
3.2030 3.2030 0.0000
```

- total moment (μB/f.u.) = 0.04
- E_form (eV per formula unit) = 2.9



Below is crystalline PaZn2Co at its relaxed geometry, with properties calculated at the PBE-GGA level. Values from VASP.

Structure (Quantum ESPRESSO input):
```
&SYSTEM
  ibrav = 0, nat = 8, ntyp = 3
/
ATOMIC_SPECIES
Co 58.93 Co.upf
Pa 231.04 Pa.upf
Zn 65.41 Zn.upf
ATOMIC_POSITIONS crystal
Co 0.1132 0.2500 0.3779
Co 0.8868 0.7500 0.6221
Pa 0.0348 0.7500 0.1565
Pa 0.9652 0.2500 0.8435
Zn 0.5906 0.0560 0.2756
Zn 0.5906 0.4440 0.2756
Zn 0.4094 0.5560 0.7244
Zn 0.4094 0.9440 0.7244
CELL_PARAMETERS angstrom
-2.1128 0.1905 -3.7728
-2.2437 -6.3070 0.9381
-3.0234 1.5654 3.2936
```

- total moment (μB/f.u.) = 0.00
- E_form (eV per formula unit) = -1.2



Below is crystalline Pa2Zn3Co4 at its relaxed geometry, with properties calculated at the PBE-GGA level. Values from VASP.

Structure (Quantum ESPRESSO input):
```
&SYSTEM
  ibrav = 0, nat = 18, ntyp = 3
/
ATOMIC_SPECIES
Co 58.93 Co.upf
Pa 231.04 Pa.upf
Zn 65.41 Zn.upf
ATOMIC_POSITIONS crystal
Co 0.6550 0.3450 0.0412
Co 0.1689 0.3311 0.2500
Co 0.6689 0.8311 0.2500
Co 0.1550 0.8450 0.4588
Co 0.8450 0.1550 0.5412
Co 0.3311 0.1689 0.7500
Co 0.8311 0.6689 0.7500
Co 0.3450 0.6550 0.9588
Pa 0.1077 0.8923 0.0827
Pa 0.6077 0.3923 0.4173
Pa 0.3923 0.6077 0.5827
Pa 0.8923 0.1077 0.9173
Zn 0.5000 0.5000 0.0000
Zn 0.0157 0.4843 0.2500
Zn 0.5157 0.9843 0.2500
Zn 0.0000 0.0000 0.5000
Zn 0.4843 0.0157 0.7500
Zn 0.9843 0.5157 0.7500
CELL_PARAMETERS angstrom
4.4325 0.2256 -7.3875
-7.7910 1.2487 3.4661
1.4150 5.9665 1.0312
```

- total moment (μB/f.u.) = 0.00
- E_form (eV per formula unit) = -2.9



Below is crystalline Co15Pb at its relaxed geometry, with properties calculated at the PBE-GGA level. Values from VASP.

Structure (Quantum ESPRESSO input):
```
&SYSTEM
  ibrav = 0, nat = 32, ntyp = 2
/
ATOMIC_SPECIES
Co 58.93 Co.upf
Pb 207.20 Pb.upf
ATOMIC_POSITIONS crystal
Co 0.6251 0.2500 0.0184
Co 0.1250 0.2500 0.0186
Co 0.3751 0.7500 0.0555
Co 0.8748 0.7500 0.0557
Co 0.1253 0.2500 0.0926
Co 0.6247 0.2500 0.0927
Co 0.8751 0.7500 0.1297
Co 0.3749 0.7500 0.1302
Co 0.6232 0.2500 0.1669
Co 0.1268 0.2500 0.1669
Co 0.3750 0.7500 0.2043
Co 0.8749 0.7500 0.2045
Co 0.1220 0.2500 0.2408
Co 0.6280 0.2500 0.2408
Co 0.8750 0.7500 0.2756
Co 0.1250 0.2500 0.7244
Co 0.3720 0.7500 0.7592
Co 0.8780 0.7500 0.7592
Co 0.1251 0.2500 0.7955
Co 0.6250 0.2500 0.7957
Co 0.8732 0.7500 0.8331
Co 0.3768 0.7500 0.8331
Co 0.6251 0.2500 0.8698
Co 0.1249 0.2500 0.8703
Co 0.3753 0.7500 0.9073
Co 0.8747 0.7500 0.9074
Co 0.1252 0.2500 0.9443
Co 0.6249 0.2500 0.9445
Co 0.8750 0.7500 0.9814
Co 0.3749 0.7500 0.9816
Pb 0.3750 0.7500 0.2988
Pb 0.6250 0.2500 0.7012
CELL_PARAMETERS angstrom
-4.4849 -0.2961 5.0470
-0.1043 -2.5680 -0.2434
24.9907 -3.1022 22.0221
```

- energy relative to the lowest polymorph listed for this composition (eV/f.u.) = 1.34
- total moment (μB/f.u.) = 24.38



Below is crystalline Co15Pb at its relaxed geometry, with properties calculated at the PBE-GGA level. Values from VASP.

Structure (Quantum ESPRESSO input):
```
&SYSTEM
  ibrav = 0, nat = 32, ntyp = 2
/
ATOMIC_SPECIES
Co 58.93 Co.upf
Pb 207.20 Pb.upf
ATOMIC_POSITIONS crystal
Co 0.6250 0.5000 0.1868
Co 0.3669 0.0000 0.2254
Co 0.8831 0.0000 0.2254
Co 0.6250 0.5000 0.2667
Co 0.1250 0.5000 0.2688
Co 0.8736 0.0000 0.3100
Co 0.3764 0.0000 0.3101
Co 0.1250 0.5000 0.3521
Co 0.6250 0.5000 0.3525
Co 0.3747 0.0000 0.3946
Co 0.8753 0.0000 0.3946
Co 0.1251 0.5000 0.4367
Co 0.6249 0.5000 0.4368
Co 0.8752 0.0000 0.4789
Co 0.3748 0.0000 0.4789
Co 0.6252 0.5000 0.5210
Co 0.1248 0.5000 0.5211
Co 0.3751 0.0000 0.5632
Co 0.8749 0.0000 0.5633
Co 0.1247 0.5000 0.6054
Co 0.6253 0.5000 0.6054
Co 0.3749 0.0000 0.6475
Co 0.8750 0.0000 0.6478
Co 0.6236 0.5000 0.6899
Co 0.1264 0.5000 0.6899
Co 0.8750 0.0000 0.7312
Co 0.3750 0.0000 0.7333
Co 0.1169 0.5000 0.7746
Co 0.6331 0.5000 0.7746
Co 0.3750 0.0000 0.8133
Pb 0.1250 0.5000 0.1614
Pb 0.8750 0.0000 0.8386
CELL_PARAMETERS angstrom
4.9798 0.0000 0.0000
0.0000 2.5915 0.0000
-0.0067 0.0000 39.9798
```

- energy relative to the lowest polymorph listed for this composition (eV/f.u.) = 0.80
- total moment (μB/f.u.) = 24.46



Below is crystalline Co15Pb at its relaxed geometry, with properties calculated at the PBE-GGA level. Values from VASP.

Structure (Quantum ESPRESSO input):
```
&SYSTEM
  ibrav = 0, nat = 32, ntyp = 2
/
ATOMIC_SPECIES
Co 58.93 Co.upf
Pb 207.20 Pb.upf
ATOMIC_POSITIONS crystal
Co 0.6251 0.0000 0.2274
Co 0.8740 0.5000 0.2611
Co 0.3759 0.5000 0.2611
Co 0.6249 0.0000 0.2980
Co 0.1250 0.0000 0.2981
Co 0.3731 0.5000 0.3344
Co 0.8768 0.5000 0.3344
Co 0.1250 0.0000 0.3712
Co 0.6250 0.0000 0.3715
Co 0.8749 0.5000 0.4082
Co 0.3751 0.5000 0.4082
Co 0.6249 0.0000 0.4450
Co 0.1251 0.0000 0.4450
Co 0.3748 0.5000 0.4817
Co 0.8752 0.5000 0.4817
Co 0.1248 0.0000 0.5183
Co 0.6252 0.0000 0.5183
Co 0.8749 0.5000 0.5550
Co 0.3751 0.5000 0.5550
Co 0.6249 0.0000 0.5918
Co 0.1251 0.0000 0.5918
Co 0.3750 0.5000 0.6286
Co 0.8750 0.5000 0.6289
Co 0.1232 0.0000 0.6656
Co 0.6269 0.0000 0.6656
Co 0.8750 0.5000 0.7019
Co 0.3751 0.5000 0.7020
Co 0.6240 0.0000 0.7389
Co 0.1261 0.0000 0.7389
Co 0.3749 0.5000 0.7726
Pb 0.1251 0.0000 0.2023
Pb 0.8748 0.5000 0.7976
CELL_PARAMETERS angstrom
4.9540 0.0000 0.0000
0.0000 3.4881 0.0000
-0.0075 0.0000 33.5619
```

- energy relative to the lowest polymorph listed for this composition (eV/f.u.) = 0.12
- total moment (μB/f.u.) = 24.01



Below is crystalline Co10Pb at its relaxed geometry, with properties calculated at the PBE-GGA level. Values from VASP.

Structure (Quantum ESPRESSO input):
```
&SYSTEM
  ibrav = 0, nat = 22, ntyp = 2
/
ATOMIC_SPECIES
Co 58.93 Co.upf
Pb 207.20 Pb.upf
ATOMIC_POSITIONS crystal
Co 0.8525 0.8525 0.2579
Co 0.5516 0.5516 0.2817
Co 0.2525 0.2525 0.3064
Co 0.9513 0.9513 0.3327
Co 0.6495 0.6495 0.3581
Co 0.3484 0.3484 0.3840
Co 0.0496 0.0496 0.4097
Co 0.7500 0.7500 0.4356
Co 0.4497 0.4497 0.4616
Co 0.1500 0.1500 0.4873
Co 0.8500 0.8500 0.5127
Co 0.5503 0.5503 0.5384
Co 0.2500 0.2500 0.5644
Co 0.9504 0.9504 0.5903
Co 0.6516 0.6516 0.6160
Co 0.3505 0.3505 0.6419
Co 0.0487 0.0487 0.6673
Co 0.7475 0.7475 0.6936
Co 0.4484 0.4484 0.7183
Co 0.1475 0.1475 0.7421
Pb 0.1467 0.1467 0.2096
Pb 0.8533 0.8533 0.7904
CELL_PARAMETERS angstrom
-1.8622 -3.2460 -2.0613
-0.0106 -4.2087 0.7347
-24.7371 3.1932 17.4807
```

- total energy (eV per atom) = -6.70
- total moment (μB/f.u.) = 15.72